Here is an optimized crystal structure of CdNiCO4 from Alexandria. Energies are from PBE with a Hubbard U.

a = 5.982 Å, b = 5.755 Å, c = 5.755 Å
α = 57.59°, β = 58.69°, γ = 58.69°
Last column: magnetic moment on the atom in μB.
Fractional positions:
O  0.336  0.725  0.225  0.04
O  0.715  0.725  0.225  0.04
O  0.664  0.275  0.775  0.04
O  0.729  0.294  0.248  0.08
O  0.285  0.275  0.775  0.04
O  0.729  0.748  0.794  0.08
O  0.271  0.252  0.206  0.08
O  0.271  0.706  0.752  0.08
Ni  0.000  0.000  0.500  1.74
Ni  0.500  0.000  0.500  1.74
C  0.616  0.634  0.134  0.01
C  0.384  0.366  0.866  0.01
Cd  0.000  0.500  0.500  0.00
Cd  0.000  0.000  0.000  0.00

## Properties
Electronic total energy: -37.53 eV/f.u.